A relaxed structure of Pa2Al3Os, computed with GGA-PBE.

Values from the calculation:
- energy relative to the elements (eV/atom) = -0.397

extended XYZ file:
```
6
Lattice="4.6235 -2.6428 0.0000 4.6235 2.6428 0.0000 -3.1041 0.0000 4.5805" Properties=species:S:1:pos:R:3 pbc="T T T"
Pa 0.0125 0.0000 1.8626
Pa 6.1304 0.0000 2.7179
Al 2.3117 1.3214 0.0000
Al 2.3117 -1.3214 0.0000
Al 4.6235 0.0000 0.0000
Os 3.0714 0.0000 2.2903
```